{
  "formula": "Li2UMo2O10",
  "functional": "GGA+U",
  "state": "relaxed",
  "lattice_angstrom": [[5.578, -0.066, 0.002], [-1.594, 5.789, 0.010], [-1.449, -3.080, 7.630]],
  "species": ["O", "O", "O", "O", "O", "Mo", "O", "Li", "U", "Li", "O", "O", "Mo", "O", "O"],
  "frac_coords": [[0.805, 0.783, 0.151], [0.195, 0.217, 0.849], [0.307, 0.083, 0.164], [0.773, 0.152, 0.560], [0.298, 0.423, 0.576], [0.081, 0.361, 0.702], [0.227, 0.848, 0.440], [0.526, 0.783, 0.572], [0.000, 0.000, 0.000], [0.474, 0.217, 0.428], [0.693, 0.917, 0.836], [0.050, 0.650, 0.833], [0.919, 0.639, 0.298], [0.702, 0.577, 0.424], [0.950, 0.350, 0.167]],
  "relative_energy_ev_per_atom": 0.0000,
  "space_group": "P-1, No. 2",
  "crystal_system": "triclinic"
}